A plane-wave DFT calculation with GGA-PBEsol was carried out for HfTa2Ti after structural relaxation.

Properties
As for the calculated formation energy: 167 meV per atom. Its symmetry is No. 225.

a b c (Å): 4.669 4.669 4.669
angles (deg): 60.00 60.00 60.00
Fractional coordinates of all 4 atoms:
Hf: 0.000 0.000 0.000
Ta: 0.250 0.250 0.250
Ta: 0.750 0.750 0.750
Ti: 0.500 0.500 0.500